The following is a DFT calculation (PBE) of a geometry-optimized PuInSnPb structure.

Cell lengths 5.440, 5.440, 5.440 Å; angles 60.00, 60.00, 60.00 degrees
Atoms (fractional coordinates):
Pu1 0.000 0.000 0.000
In1 0.750 0.750 0.750
Sn1 0.250 0.250 0.250
Pb1 0.500 0.500 0.500

- Electronic total energy: -24.93 eV for the cell shown
- ΔE_f: -0.04 eV per atom
- Mass density: 9.99 g cm⁻³
- Symmetry: F-43m, No. 216
- Magnetic moment: 6.04 μB/f.u.
- Relative energy among the computed polymorphs: 0.84 eV/f.u.
- Crystal system: cubic
- V: 113.8 Å³/cell